K2HgAuO: optimized geometry, PBE.

POSCAR file:
```
K2HgAuO
1.0
5.511 0.000 0.000
0.000 5.511 0.000
0.000 0.000 4.582
O K Hg Au
1 2 1 1
Direct
0.000 0.000 0.000
0.000 0.500 0.000
0.500 0.000 0.000
0.000 0.000 0.500
0.500 0.500 0.500
```

Results
- distance to the lowest polymorph of the same formula (meV/atom) = 37
- space-group type = P4/mmm, No. 123
- uncorrected formation energy (eV per atom) = -0.561
- M_tot (μB per formula unit) = 0.00
- E_tot (eV per cell) = -13.538
- Fermi-level density of states (states/eV/cell) = 0.9



RbLi: optimized geometry, PBE.

POSCAR file:
```
RbLi
1.0
11.012 0.000 0.000
0.000 11.012 0.000
0.000 0.000 11.012
Rb Li
6 6
Direct
0.750 0.500 0.000
0.500 0.000 0.750
0.500 0.000 0.250
0.000 0.750 0.500
0.250 0.500 0.000
0.000 0.250 0.500
0.000 0.500 0.250
0.500 0.250 0.000
0.500 0.750 0.000
0.750 0.000 0.500
0.250 0.000 0.500
0.000 0.500 0.750
```

Results
- space-group type = Pm-3n, No. 223
- M_tot (μB per formula unit) = 0.00
- E_tot (eV per cell) = -11.093
- ΔH_f (0 K) (eV per atom) = 0.52
- Fermi-level density of states (states/eV/cell) = 4.9